# Na3PaPb2S6

A relaxed Na3PaPb2S6 crystal (PBE, Alexandria).

Results
- space group = C2/m, No. 12
- total DFT energy (no corrections) (eV per cell) = -59.64

a b c (Å): 7.241 7.241 7.036
angles (deg): 100.03 100.03 120.01
Fractional positions:
Na 0.500 0.500 0.500
Na 0.829 0.171 0.500
Na 0.171 0.829 0.500
S 0.776 0.776 0.230
S 0.224 0.224 0.770
S 0.381 0.079 0.235
S 0.079 0.381 0.235
S 0.921 0.619 0.765
S 0.619 0.921 0.765
Pb 0.666 0.334 0.000
Pb 0.334 0.666 0.000
Pa 0.000 0.000 0.000